KCr2OsO8, optimized geometry, DFT PBE with a Hubbard U; calculated total energy = -82.23 eV for the cell shown; magnetization = 5.0 μB per formula unit
1.0
-0.6148 -4.9991 0.3909
3.5086 -1.7161 3.2039
-3.5801 -0.6655 6.0279
K Cr Os O
1 2 1 8
Cartesian
-1.7900 -0.3328 3.0140 K
-1.2608 -3.5041 5.9378 Cr
0.5745 -3.8767 3.6850 Cr
0.0000 0.0000 0.0000 Os
1.8316 -2.5389 3.6991 O
1.9818 -5.2009 3.1774 O
-0.3872 -4.3176 2.1842 O
-2.5179 -4.8419 5.9237 O
-2.6681 -2.1798 6.4454 O
-0.2991 -3.0631 7.4386 O
0.1783 -4.6872 5.2197 O
-0.8646 -2.6936 4.4031 O